# PBE-GGA Dy2SnTe, optimized geometry
data_Dy2SnTe
_space_group_name_H-M_alt 'P n m a'
_space_group_IT_number 62
_space_group_name_Hall '-P 2ac 2n'
_cell_length_a 7.6846
_cell_length_b 4.2443
_cell_length_c 15.0676
_cell_angle_alpha 90.00
_cell_angle_beta 90.00
_cell_angle_gamma 90.00
loop_
_atom_site_label
_atom_site_type_symbol
_atom_site_fract_x
_atom_site_fract_y
_atom_site_fract_z
Dy1 Dy 0.1590 0.2500 0.2430
Dy2 Dy 0.2139 0.7500 0.9944
Sn1 Sn 0.0849 0.2500 0.8524
Te1 Te 0.0785 0.7500 0.5972
# DOS(E_F) = 4.9 states/eV/cell

=====

Dy2SnTe5 | PBE-GGA | optimized geometry

Structure (CIF):
```
data_Dy2SnTe5
_space_group_name_H-M_alt 'C m c m'
_space_group_IT_number 63
_space_group_name_Hall '-C 2c 2'
_cell_length_a 6.2254
_cell_length_b 14.9968
_cell_length_c 13.8546
_cell_angle_alpha 90.00
_cell_angle_beta 90.00
_cell_angle_gamma 90.00
loop_
_atom_site_label
_atom_site_type_symbol
_atom_site_fract_x
_atom_site_fract_y
_atom_site_fract_z
Dy1 Dy 0.0000 0.1691 0.0673
Sn1 Sn 0.0000 0.1956 0.7500
Te1 Te 0.0000 0.0326 0.5992
Te2 Te 0.0000 0.2782 0.2500
Te3 Te 0.0000 0.3200 0.5819
```

=====

# PBE-GGA Dy2SnTe, optimized geometry
data_Dy2SnTe
_space_group_name_H-M_alt 'R 3 m'
_space_group_IT_number 160
_space_group_name_Hall 'R 3 -2"'
_cell_length_a 4.3505
_cell_length_b 4.3505
_cell_length_c 22.3988
_cell_angle_alpha 90.00
_cell_angle_beta 90.00
_cell_angle_gamma 120.00
loop_
_atom_site_label
_atom_site_type_symbol
_atom_site_fract_x
_atom_site_fract_y
_atom_site_fract_z
Dy1 Dy 0.0000 0.0000 0.0000
Dy2 Dy 0.0000 0.0000 0.1798
Sn1 Sn 0.0000 0.0000 0.5887
Te1 Te 0.0000 0.0000 0.7586
# DOS(E_F) = 6.1 states/eV/cell

=====

# PBE-GGA Dy6SnTe3, optimized geometry
data_Dy6SnTe3
_space_group_name_H-M_alt 'P 1 21/m 1'
_space_group_IT_number 11
_space_group_name_Hall '-P 2yb'
_cell_length_a 12.0903
_cell_length_b 4.1477
_cell_length_c 12.5127
_cell_angle_alpha 90.00
_cell_angle_beta 104.43
_cell_angle_gamma 90.00
loop_
_atom_site_label
_atom_site_type_symbol
_atom_site_fract_x
_atom_site_fract_y
_atom_site_fract_z
Dy1 Dy 0.0143 0.2500 0.3548
Dy2 Dy 0.0795 0.2500 0.8842
Dy3 Dy 0.2562 0.7500 0.2973
Dy4 Dy 0.2903 0.7500 0.7622
Dy5 Dy 0.3846 0.2500 0.5407
Dy6 Dy 0.4480 0.7500 0.1230
Sn1 Sn 0.4567 0.2500 0.3110
Te1 Te 0.1115 0.2500 0.1418
Te2 Te 0.1746 0.7500 0.5111
Te3 Te 0.3363 0.2500 0.9506
# DOS(E_F) = 20.4 states/eV/cell

=====

# PBE-GGA DySnTe, optimized geometry
data_DySnTe
_space_group_name_H-M_alt 'I 4/m m m'
_space_group_IT_number 139
_space_group_name_Hall '-I 4 2'
_cell_length_a 4.2212
_cell_length_b 4.2212
_cell_length_c 19.0665
_cell_angle_alpha 90.00
_cell_angle_beta 90.00
_cell_angle_gamma 90.00
loop_
_atom_site_label
_atom_site_type_symbol
_atom_site_fract_x
_atom_site_fract_y
_atom_site_fract_z
Dy1 Dy 0.0000 0.0000 0.1410
Sn1 Sn 0.0000 0.5000 0.0000
Te1 Te 0.0000 0.0000 0.3109
# DOS(E_F) = 5.1 states/eV/cell

=====

# PBE-GGA Dy2SnTe, optimized geometry
data_Dy2SnTe
_space_group_name_H-M_alt 'P m n a'
_space_group_IT_number 53
_space_group_name_Hall '-P 2ac 2'
_cell_length_a 6.1902
_cell_length_b 6.1899
_cell_length_c 12.4225
_cell_angle_alpha 90.00
_cell_angle_beta 90.00
_cell_angle_gamma 90.00
loop_
_atom_site_label
_atom_site_type_symbol
_atom_site_fract_x
_atom_site_fract_y
_atom_site_fract_z
Dy1 Dy 0.0000 0.2493 0.1285
Dy2 Dy 0.0000 0.2505 0.6216
Sn1 Sn 0.0000 0.2494 0.3750
Te1 Te 0.0000 0.2507 0.8750
# DOS(E_F) = 3.3 states/eV/cell

=====

Number 1: formation energy from raw total energies -0.985 eV/atom. Number 2: formation energy from raw total energies -0.847 eV/atom. Number 3: formation energy from raw total energies -0.953 eV/atom. Number 4: formation energy from raw total energies -0.880 eV/atom. Number 5: formation energy from raw total energies -0.943 eV/atom. Number 6: formation energy from raw total energies -1.060 eV/atom.